This record from Alexandria describes a geometry-optimized TlGeSeBr structure. The functional is PBE.

Cell: 4.074 4.081 8.223 Å, 90.05 90.01 119.88°
Space group P1 (No. 1)
Inequivalent atoms, fractional coordinates:
Tl 0.000 0.000 0.000 [1 per cell]
Ge 0.000 0.004 0.529 [1 per cell]
Se 0.667 0.338 0.694 [1 per cell]
Br 0.333 0.667 0.268 [1 per cell]



This record from Alexandria describes a geometry-optimized TlGeSe2Br structure. The functional is PBE.

Cell: 5.034 5.034 5.659 Å, 90.00 90.00 90.00°
Space group P4/mmm (No. 123)
Inequivalent atoms, fractional coordinates:
Tl 0.000 0.000 0.000 [1 per cell]
Ge 0.500 0.500 0.500 [1 per cell]
Se 0.000 0.500 0.500 [2 per cell]
Br 0.500 0.500 0.000 [1 per cell]

DOS(E_F)   1.5 states/eV/f.u.
Distance to the lowest polymorph of the same formula   0.00 kJ per mole of atoms



This record from Alexandria describes a geometry-optimized VGeSeBr2 structure. The functional is PBE.

Cell: 5.251 5.251 5.146 Å, 90.00 90.00 90.00°
Space group P4/mmm (No. 123)
Inequivalent atoms, fractional coordinates:
V 0.000 0.000 0.000 [1 per cell]
Ge 0.500 0.500 0.500 [1 per cell]
Se 0.500 0.500 0.000 [1 per cell]
Br 0.000 0.500 0.500 [2 per cell]

DOS(E_F)   9.5 states/eV/f.u.
Distance to the lowest polymorph of the same formula   66.67 kJ per mole of atoms



This record from Alexandria describes a geometry-optimized VGeSe2Br structure. The functional is PBE.

Cell: 4.913 4.913 5.019 Å, 90.00 90.00 90.00°
Space group P4/mmm (No. 123)
Inequivalent atoms, fractional coordinates:
V 0.000 0.000 0.000 [1 per cell]
Ge 0.500 0.500 0.500 [1 per cell]
Se 0.000 0.500 0.000 [2 per cell]
Br 0.000 0.000 0.500 [1 per cell]

DOS(E_F)   4.0 states/eV/f.u.
Distance to the lowest polymorph of the same formula   0.00 kJ per mole of atoms



The calculation returns the following ρ values, one per record and in order: 6.107 5.961 4.242 4.955 Mg/m³.
The calculation returns the following formation energy without anion corrections values, one per record and in order: -452.9 -156.3 643.3 12.7 meV/atom.